# 1
Here is an optimized crystal structure of Tb7Y2Tm from Alexandria. Energies are from PBE-GGA.

E_form	0.16	eV/f.u.
energy relative to the lowest polymorph listed for this composition	0	meV/atom
VASP energy	-49.65	eV for the cell shown

Cell: 6.147 10.655 11.230 Å, 137.52 56.84 140.26°
Positions (direct):
Tm: 0.000 0.000 0.000
Tb: 0.203 0.800 0.199
Y: 0.402 0.600 0.400
Tb: 0.500 0.500 0.000
Tb: 0.700 0.299 0.199
Tb: 0.300 0.701 0.801
Tb: 0.797 0.200 0.801
Tb: 0.100 0.901 0.601
Y: 0.598 0.400 0.600
Tb: 0.900 0.099 0.399



# 2
Here is an optimized crystal structure of NiIr2W from Alexandria. Energies are from PBE-GGA.

E_form	-0.13	eV/f.u.
energy relative to the lowest polymorph listed for this composition	213	meV/atom
VASP energy	-36.59	eV for the cell shown

Cell: 8.805 8.805 8.805 Å, 18.03 18.03 18.03°
Positions (direct):
Ir: 0.498 0.498 0.498
Ir: 0.002 0.002 0.002
W: 0.250 0.250 0.250
Ni: 0.750 0.750 0.750